A plane-wave DFT calculation with PBE-GGA was carried out for a relaxed structure of CuB2Te.

POSCAR file:
```
CuB2Te
1.0
0.000 3.047 3.047
3.047 0.000 3.047
3.047 3.047 0.000
Cu B Te
1 2 1
Direct
0.000 0.000 0.000 Cu
0.250 0.250 0.250 B
0.500 0.500 0.500 B
0.750 0.750 0.750 Te
```

Results
Its space group is F-43m, No. 216.

=====

A plane-wave DFT calculation with PBE-GGA was carried out for a relaxed structure of ThCuB.

POSCAR file:
```
ThCuB
1.0
0.000 3.028 3.028
3.028 0.000 3.028
3.028 3.028 0.000
Th Cu B
1 1 1
Direct
0.000 0.000 0.000 Th
0.500 0.500 0.500 Cu
0.750 0.750 0.750 B
```

Results
Its space group is F-43m, No. 216. The calculation puts the excess energy over the best structure of this formula in the dataset at 0 kJ/mol of formula units.

=====

A plane-wave DFT calculation with PBE-GGA was carried out for a relaxed structure of ThCuB.

POSCAR file:
```
ThCuB
1.0
0.000 3.063 3.063
3.063 0.000 3.063
3.063 3.063 0.000
Th Cu B
1 1 1
Direct
0.000 0.000 0.000 Th
0.750 0.750 0.750 Cu
0.500 0.500 0.500 B
```

Results
Its space group is F-43m, No. 216. The calculation puts the excess energy over the best structure of this formula in the dataset at 109 kJ/mol of formula units.

=====

A plane-wave DFT calculation with PBE-GGA was carried out for a relaxed structure of TlCuB4.

POSCAR file:
```
TlCuB4
1.0
-1.525 2.656 4.045
1.525 -2.656 4.045
1.525 2.656 -4.045
Tl Cu B
1 1 4
Direct
0.000 0.000 0.000 Tl
0.500 0.500 0.000 Cu
0.096 0.760 0.336 B
0.425 0.760 0.664 B
0.575 0.240 0.336 B
0.904 0.240 0.664 B
```

Results
Its space group is Immm, No. 71. The calculation puts the excess energy over the best structure of this formula in the dataset at 117 kJ/mol of formula units.

=====

Number 1: DFT total energy -3.344 eV per atom. Number 2: DFT total energy -5.937 eV per atom. Number 3: DFT total energy -5.561 eV per atom. Number 4: DFT total energy -4.768 eV per atom.